Here is crystalline V4O7 at its relaxed geometry from Alexandria via LeMat-Bulk. Energies are from PBE+U.

a b c (Å): 6.2819 6.5794 6.9217
angles (deg): 89.60 88.24 68.51
Last column: nearest neighbours and their distance in Å.
Element x y z (fractional)
V (0.1198, 0.2844, 0.1304)  2 O 1.73-1.92
V (0.1927, 0.2890, 0.6140)  4 O 1.77-1.93
V (0.3380, 0.7065, 0.6505)  2 O 1.86-1.91
V (0.3604, 0.7048, 0.1070)  4 O 1.90-2.12
V (0.6396, 0.2952, 0.8930)  4 O 1.90-2.12
V (0.6620, 0.2935, 0.3495)  2 O 1.86-1.91
V (0.8073, 0.7110, 0.3860)  4 O 1.77-1.93
V (0.8802, 0.7156, 0.8696)  2 O 1.73-1.92
O (0.0179, 0.6643, 0.5885)  2 V 1.90-2.08
O (0.0628, 0.3696, 0.8547)  2 V 1.83-1.99
O (0.1697, 0.7481, 0.8914)  3 V 1.90-1.92
O (0.2917, 0.9994, 0.6125)  2 V 1.77-1.86
O (0.2954, 0.0126, 0.1453)  2 V 1.73-1.93
O (0.3999, 0.3850, 0.1288)  4 V 2.03-2.20
O (0.4601, 0.3654, 0.6282)  3 V 1.93-2.14
O (0.5399, 0.6346, 0.3718)  3 V 1.93-2.14
O (0.6001, 0.6150, 0.8712)  4 V 2.03-2.20
O (0.7046, 0.9874, 0.8547)  2 V 1.73-1.93
O (0.7083, 0.0006, 0.3875)  2 V 1.77-1.86
O (0.8303, 0.2519, 0.1086)  3 V 1.90-1.92
O (0.9372, 0.6304, 0.1453)  2 V 1.83-1.99
O (0.9821, 0.3357, 0.4115)  2 V 1.90-2.08

Results
ρ in Mg/m³: 3.9
Total magnetization in μB per formula unit: 6.000
E_tot in eV per atom: -7.7669